VASP calculation (PBE) on a geometry-optimized Hf2Cr2Hg structure.

Unit cell a=6.785 b=6.785 c=3.893 alpha=90.00 beta=90.00 gamma=90.00
Space group P4/mbm (No. 127)
Asymmetric unit:
Hf (0.179, 0.321, 0.000)
Cr (0.104, 0.604, 0.500)
Hg (0.000, 0.000, 0.500)

Values from the calculation:
Total DFT energy (no corrections), eV per cell: -77.7
Calculated formation energy, eV/atom: 0.1203

***

VASP calculation (PBE) on a geometry-optimized BeIn2Si structure.

Unit cell a=6.301 b=7.808 c=3.153 alpha=90.00 beta=90.00 gamma=90.00
Space group Cmmm (No. 65)
Asymmetric unit:
Be (0.000, 0.000, 0.000)
In (0.250, 0.250, 0.500)
Si (0.000, 0.500, 0.000)

Values from the calculation:
Uncorrected formation energy, eV per atom: 0.58
Total DFT energy (no corrections), eV per cell: -24.6
Relative energy among the computed polymorphs, eV per atom: 0.365

***

VASP calculation (PBE) on a geometry-optimized CrReHg structure.

Unit cell a=2.984 b=2.984 c=10.988 alpha=90.00 beta=90.00 gamma=90.00
Space group I4mm (No. 107)
Asymmetric unit:
Cr (0.000, 0.000, 0.000)
Re (0.000, 0.000, 0.616)
Hg (0.000, 0.000, 0.315)

Values from the calculation:
Total DFT energy (no corrections), eV per cell: -41.8
Relative energy among the computed polymorphs, eV per atom: 0.000
Calculated formation energy, eV/atom: 0.4846